Li3VFeP2H2O10 after structural relaxation. Source: Alexandria via LeMat-Bulk, functional GGA+U.

POSCAR file:
```
Li3VFeP2H2O10
1.0
-1.721 4.725 -1.532
-4.900 -2.404 -0.035
2.193 0.435 7.242
O P Li H V Fe
10 2 3 2 1 1
Direct
0.384 0.240 0.060 O
0.169 0.940 0.282 O
0.123 0.661 0.865 O
0.263 0.772 0.597 O
0.725 0.191 0.355 O
0.306 0.334 0.642 O
0.618 0.737 0.909 O
0.899 0.362 0.129 O
0.837 0.065 0.709 O
0.669 0.652 0.332 O
0.321 0.624 0.750 P
0.671 0.361 0.218 P
0.485 0.834 0.135 Li
0.258 0.603 0.320 Li
0.801 0.423 0.854 Li
0.336 0.080 0.357 H
0.646 0.963 0.654 H
0.996 0.003 0.498 V
0.998 0.004 0.989 Fe
```

Output
Crystal system ... triclinic
E_tot ... -6.55 eV per atom